Computed, not measured: crystalline ErBeNiN at its relaxed geometry at the PBE level of DFT.

```
8
Lattice="3.4686 0.0000 0.0000 0.0000 3.4686 0.0000 0.0000 0.0000 8.0512" Properties=species:S:1:pos:R:3 pbc="T T T"
Er 0.8672 0.8672 1.2295
Er 2.6015 2.6015 6.8217
Be 0.8672 0.8672 5.3579
Be 2.6015 2.6015 2.6933
Ni 0.8672 2.6015 4.0256
Ni 2.6015 0.8672 4.0256
N 0.8672 0.8672 6.9793
N 2.6015 2.6015 1.0719
```

Results
Formation energy without anion corrections, eV per atom: -1.0179
Total DFT energy (no corrections), Ry/atom: -0.486

Computed, not measured: crystalline SrYAs2Os at its relaxed geometry at the PBE level of DFT.

```
5
Lattice="4.8984 0.0000 0.0000 0.0000 4.8984 0.0000 0.0000 0.0000 5.5319" Properties=species:S:1:pos:R:3 pbc="T T T"
Sr 0.0000 0.0000 0.0000
Y 2.4492 2.4492 0.0000
As 0.0000 2.4492 2.7660
As 2.4492 0.0000 2.7660
Os 0.0000 0.0000 2.7660
```

Results
Energy relative to the elements, eV/atom: 0.34
Total DFT energy (no corrections), Ry/atom: -0.397

Computed, not measured: crystalline Ta2NbTe6 at its relaxed geometry at the PBE level of DFT.

```
9
Lattice="6.8079 -1.8632 0.0000 6.8079 1.8632 0.0000 -0.7009 0.0000 10.1490" Properties=species:S:1:pos:R:3 pbc="T T T"
Ta 3.0626 0.0000 3.8323
Ta 9.8522 0.0000 6.3167
Nb 6.8079 0.0000 0.0000
Te 1.7472 0.0000 1.1713
Te 4.9780 0.0000 5.8820
Te 5.2737 0.0000 2.2700
Te 7.6411 0.0000 7.8791
Te 7.9368 0.0000 4.2670
Te 11.1676 0.0000 8.9777
```

Results
Formation energy without anion corrections, eV per atom: -0.1142
Total DFT energy (no corrections), Ry/atom: -0.438

Computed, not measured: crystalline LiSmGd2 at its relaxed geometry at the PBE level of DFT.

```
4
Lattice="5.6969 0.0000 0.0000 0.0000 5.6969 0.0000 0.0000 0.0000 3.7042" Properties=species:S:1:pos:R:3 pbc="T T T"
Li 0.0000 0.0000 0.0000
Sm 2.8484 2.8484 0.0000
Gd 0.0000 2.8484 1.8521
Gd 2.8484 0.0000 1.8521
```

Results
Energy relative to the elements, eV/atom: 0.14
Total DFT energy (no corrections), Ry/atom: -0.629

Computed, not measured: crystalline Li2Zn2B at its relaxed geometry at the PBE level of DFT.

```
10
Lattice="5.6359 0.0000 0.0000 0.0000 5.6359 0.0000 0.0000 0.0000 4.4294" Properties=species:S:1:pos:R:3 pbc="T T T"
Li 0.9713 1.8466 0.0000
Li 1.8466 4.6646 0.0000
Li 3.7893 0.9713 0.0000
Li 4.6646 3.7893 0.0000
Zn 0.9562 3.7742 2.2147
Zn 1.8618 0.9562 2.2147
Zn 3.7742 4.6797 2.2147
Zn 4.6797 1.8618 2.2147
B 0.0000 0.0000 2.2147
B 2.8180 2.8180 2.2147
```

Results
Energy relative to the elements, eV/atom: 0.16
Total DFT energy (no corrections), Ry/atom: -0.180

Computed, not measured: crystalline MoRuSe at its relaxed geometry at the PBE level of DFT.

```
3
Lattice="0.0000 2.3938 6.6156 1.5526 0.0000 6.6156 1.5526 2.3938 0.0000" Properties=species:S:1:pos:R:3 pbc="T T T"
Mo 0.0000 0.0000 0.0000
Ru 1.5526 2.3938 8.6004
Se 1.5526 2.3938 4.3691
```

Results
Formation energy without anion corrections, eV per atom: 0.4984
Total DFT energy (no corrections), Ry/atom: -0.541

Computed, not measured: crystalline Tb2EuDy at its relaxed geometry at the PBE level of DFT.

```
4
Lattice="5.9441 0.0000 0.0000 0.0000 5.9441 0.0000 0.0000 0.0000 3.7970" Properties=species:S:1:pos:R:3 pbc="T T T"
Tb 0.0000 2.9721 0.0000
Tb 2.9721 0.0000 0.0000
Eu 0.0000 0.0000 1.8985
Dy 2.9721 2.9721 1.8985
```

Results
Energy relative to the elements, eV/atom: 0.15
Total DFT energy (no corrections), Ry/atom: -0.432

Computed, not measured: crystalline ReTcO3 at its relaxed geometry at the PBE level of DFT.

```
5
Lattice="3.9104 0.0000 0.0000 0.0000 3.9104 0.0000 0.0000 0.0000 3.9104" Properties=species:S:1:pos:R:3 pbc="T T T"
Re 0.0000 0.0000 0.0000
Tc 1.9552 1.9552 1.9552
O 0.0000 1.9552 1.9552
O 1.9552 0.0000 1.9552
O 1.9552 1.9552 0.0000
```

Results
Formation energy without anion corrections, eV per atom: 0.1348
Total DFT energy (no corrections), Ry/atom: -0.544

Computed, not measured: crystalline La3TbDy2S6 at its relaxed geometry at the PBE level of DFT.

```
12
Lattice="3.4660 -6.0174 0.0000 3.4660 6.0174 0.0000 -2.3220 0.0000 6.6697" Properties=species:S:1:pos:R:3 pbc="T T T"
La 0.0000 0.0000 0.0000
La 3.4660 2.0001 0.0000
La 3.4660 -2.0001 0.0000
Tb 2.3050 0.0000 3.3349
Dy 2.3050 4.0122 3.3349
Dy 2.3050 -4.0122 3.3349
S 1.1489 2.0134 1.7993
S -0.0178 0.0000 4.8681
S 1.1489 -2.0134 1.7993
S 3.4611 2.0134 4.8704
S 4.6278 0.0000 1.8016
S 3.4611 -2.0134 4.8704
```

Results
Formation energy without anion corrections, eV per atom: -2.0919
Total DFT energy (no corrections), Ry/atom: -0.481

Computed, not measured: crystalline AcMgIn2 at its relaxed geometry at the PBE level of DFT.

```
8
Lattice="2.5379 -6.0575 0.0000 2.5379 6.0575 0.0000 0.0000 0.0000 7.5395" Properties=species:S:1:pos:R:3 pbc="T T T"
Ac 2.5379 4.9477 5.6546
Ac 2.5379 -4.9477 1.8849
Mg 2.5379 3.6460 1.8849
Mg 2.5379 -3.6460 5.6546
In 2.5379 1.4553 4.1690
In 2.5379 1.4553 7.1402
In 2.5379 -1.4553 0.3992
In 2.5379 -1.4553 3.3705
```

Results
Energy relative to the elements, eV/atom: -0.36
Total DFT energy (no corrections), Ry/atom: -0.232

Computed, not measured: crystalline ReSi2Ni at its relaxed geometry at the PBE level of DFT.

```
4
Lattice="-1.7646 1.7646 4.0581 1.7646 -1.7646 4.0581 1.7646 1.7646 -4.0581" Properties=species:S:1:pos:R:3 pbc="T T T"
Re 0.0000 0.0000 0.0000
Si 1.7646 0.0000 2.0290
Si 0.0000 0.0000 4.0581
Ni 0.0000 1.7646 2.0290
```

Results
Formation energy without anion corrections, eV per atom: -0.1111
Total DFT energy (no corrections), Ry/atom: -0.542

Computed, not measured: crystalline Sn5C8Se10N2O at its relaxed geometry at the PBE level of DFT.

```
26
Lattice="-4.5880 4.5880 7.8745 4.5880 -4.5880 7.8745 4.5880 4.5880 -7.8745" Properties=species:S:1:pos:R:3 pbc="T T T"
Sn 0.0000 0.0000 0.0000
Sn 2.8753 -0.4222 2.4559
Sn 5.0103 -1.7127 5.4186
Sn 6.3007 0.4222 2.4559
Sn 4.1658 1.7127 5.4186
C 4.1306 4.0947 -1.3323
C 0.4574 0.4933 6.5421
C 0.4933 -0.4574 9.2068
C 0.2182 3.9403 2.6135
C 4.0947 5.0455 1.3323
C -0.2182 5.2357 2.6135
C -0.6477 4.3698 5.2610
C 0.6477 4.8062 5.2610
Se 4.5880 0.0000 0.5726
Se 3.1972 2.7420 -2.1259
Se 0.8951 2.3217 2.0228
Se 4.5880 0.0000 7.3019
Se 1.8460 -1.3909 10.0004
Se 1.3909 1.8460 5.7486
Se -2.2664 3.6930 5.8517
Se 2.7420 5.9789 2.1259
Se -0.8951 6.8544 2.0228
Se 2.2664 5.4831 5.8517
N 0.0000 0.0000 7.8745
N 0.0000 4.5880 3.9372
O 4.5880 0.0000 3.9372
```

Results
Formation energy without anion corrections, eV per atom: 0.6146
Total DFT energy (no corrections), Ry/atom: -0.380